1.
Here is TbHfPa2 after structural relaxation from Alexandria. Energies are from GGA-PBE.

Results
Space-group type   No. 123
Energy relative to the lowest polymorph listed for this composition   0 meV/atom

Cell: 3.173 3.173 10.210 Å, 90.00 90.00 90.00°
Fractional positions:
Pa (0.000, 0.000, 0.236)
Pa (0.000, 0.000, 0.764)
Tb (0.500, 0.500, 0.500)
Hf (0.500, 0.500, 0.000)


2.
Here is TbHfPa2 after structural relaxation from Alexandria. Energies are from GGA-PBE.

Results
Space-group type   No. 225
Energy relative to the lowest polymorph listed for this composition   257 meV/atom

Cell: 5.271 5.271 5.268 Å, 59.98 59.98 60.00°
Fractional positions:
Pa (0.250, 0.250, 0.249)
Pa (0.750, 0.750, 0.751)
Tb (0.000, 0.000, 0.000)
Hf (0.500, 0.500, 0.500)


3.
Here is Hf4PaTc after structural relaxation from Alexandria. Energies are from GGA-PBE.

Results
Space-group type   No. 12

Cell: 4.907 5.764 5.894 Å, 61.38 65.40 64.81°
Fractional positions:
Hf (0.346, 0.012, 0.296)
Hf (0.696, 0.440, 0.169)
Hf (0.654, 0.988, 0.704)
Hf (0.304, 0.560, 0.831)
Pa (0.000, 0.500, 0.500)
Tc (0.000, 0.000, 0.000)


4.
Here is Hf5PaTc4 after structural relaxation from Alexandria. Energies are from GGA-PBE.

Results
Space-group type   No. 123

Cell: 3.260 3.260 17.693 Å, 90.00 90.00 90.00°
Fractional positions:
Tc (0.000, 0.000, 0.408)
Tc (0.000, 0.000, 0.592)
Tc (0.000, 0.000, 0.779)
Tc (0.000, 0.000, 0.221)
Pa (0.000, 0.000, 0.000)
Hf (0.500, 0.500, 0.500)
Hf (0.500, 0.500, 0.866)
Hf (0.500, 0.500, 0.685)
Hf (0.500, 0.500, 0.134)
Hf (0.500, 0.500, 0.315)


no.,total magnetic moment (μB per atom),formation energy from the elements (eV per atom)
1,0.0000,0.193
2,0.0014,0.451
3,0.0000,-0.092
4,0.0001,-0.366